The following is a DFT calculation (GGA-PBEsol) of Tm after structural relaxation.

Unit cell a=4.8244 b=4.8244 c=4.8244 alpha=90.00 beta=90.00 gamma=90.00
With the nearest neighbours (Å) after each atom.
Space group Fm-3m (No. 225)
Inequivalent atoms, fractional coordinates:
Tm: 0.0000 0.0000 0.0000 [4 per cell]  12 Tm 3.41

**Size of the total moment**: 0.000 μB per atom
**Energy relative to the lowest polymorph listed for this composition**: 0.023 eV/f.u.